DFT (meta-GGA SCAN) results for a crystal of Rb6Co2O7 relaxed with PBEsol.

Values from the calculation:
Its energy relative to the lowest polymorph listed for this composition is 0 kJ/mol of formula units. As for the uncorrected formation energy: -1456 meV per atom. The calculation puts the total energy at -449.006 eV/cell.

abc: 6.814 9.367 11.408
angles: 90.00 124.52 90.00
Space group P2_1/c (No. 14)
Asymmetric unit:
Rb1 0.063 0.148 0.428 (multiplicity 4)
Rb2 0.194 0.527 0.439 (multiplicity 4)
Rb3 0.421 0.204 0.288 (multiplicity 4)
Co1 0.315 0.641 0.865 (multiplicity 4)
O1 0.045 0.665 0.855 (multiplicity 4)
O2 0.254 0.592 0.696 (multiplicity 4)
O3 0.500 0.000 0.500 (multiplicity 2)
O4 0.500 0.204 0.071 (multiplicity 4)